1.
Li3Pr12H5 | PBE-GGA | optimized geometry

Calculated total energy: -650.273 eV/cell
Volume: 26.2 Å³ per atom
D(E_F): 169.76 states/eV/cell

Geometry as CIF:
```
data_Li3Pr12H5
_space_group_name_H-M_alt 'I a -3 d'
_space_group_IT_number 230
_space_group_name_Hall '-I 4bd 2c 3'
_cell_length_a 16.1261
_cell_length_b 16.1261
_cell_length_c 16.1261
_cell_angle_alpha 90.00
_cell_angle_beta 90.00
_cell_angle_gamma 90.00
loop_
_atom_site_label
_atom_site_fract_x
_atom_site_fract_y
_atom_site_fract_z
Li1 0.0000 0.2500 0.1250
Pr1 0.0421 0.0559 0.6498
H1 0.0000 0.0000 0.0000
H2 0.0000 0.2500 0.3750
```

2.
CoMoH2 | PBE-GGA | optimized geometry

Calculated total energy: -73.608 eV/cell
Volume: 7.5 Å³ per atom
D(E_F): 6.78 states/eV/cell

Geometry as CIF:
```
data_CoMoH2
_space_group_name_H-M_alt 'R -3 m'
_space_group_IT_number 166
_space_group_name_Hall '-R 3 2"'
_cell_length_a 2.7773
_cell_length_b 2.7773
_cell_length_c 13.5229
_cell_angle_alpha 90.00
_cell_angle_beta 90.00
_cell_angle_gamma 120.00
loop_
_atom_site_label
_atom_site_fract_x
_atom_site_fract_y
_atom_site_fract_z
Co1 0.0000 0.0000 0.0000
Mo1 0.0000 0.0000 0.5000
H1 0.0000 0.0000 0.2648
```

3.
Tb3Ho6Th2Sc | PBE-GGA | optimized geometry

DFT formation energy: 25 meV per atom
Volume: 30.8 Å³ per atom
D(E_F): 32.88 states/eV/cell

Geometry as CIF:
```
data_Tb3Ho6Th2Sc
_space_group_name_H-M_alt 'C 1 2/m 1'
_space_group_IT_number 12
_cell_length_a 6.0922
_cell_length_b 10.5507
_cell_length_c 11.6938
_cell_angle_alpha 90.00
_cell_angle_beta 100.04
_cell_angle_gamma 90.00
loop_
_space_group_symop_operation_xyz
'x,y,z'
'-x,-y,-z'
'-x,y,-z'
'x,-y,z'
'x+1/2,y+1/2,z'
'-x+1/2,-y+1/2,-z'
'-x+1/2,y+1/2,-z'
'x+1/2,-y+1/2,z'
loop_
_atom_site_label
_atom_site_fract_x
_atom_site_fract_y
_atom_site_fract_z
Tb1 0.0000 0.0000 0.0000
Tb2 0.0000 0.3335 0.0000
Ho1 0.2482 0.0000 0.7465
Ho2 0.2482 0.3335 0.7461
Th1 0.0000 0.1665 0.5000
Sc1 0.0000 0.5000 0.5000
```

4.
SmEr4Ga4 | PBE-GGA | optimized geometry

DFT formation energy: -351 meV per atom
Volume: 27.1 Å³ per atom
D(E_F): 13.47 states/eV/cell

Geometry as CIF:
```
data_SmEr4Ga4
_space_group_name_H-M_alt 'P 42/n'
_space_group_IT_number 86
_cell_length_a 9.1102
_cell_length_b 9.1102
_cell_length_c 5.8694
_cell_angle_alpha 90.00
_cell_angle_beta 90.00
_cell_angle_gamma 90.00
loop_
_space_group_symop_operation_xyz
'x,y,z'
'-x,-y,-z'
'-y,x+1/2,z+1/2'
'y,-x+1/2,-z+1/2'
'-x+1/2,-y+1/2,z'
'x+1/2,y+1/2,-z'
'y+1/2,-x,z+1/2'
'-y+1/2,x,-z+1/2'
loop_
_atom_site_label
_atom_site_fract_x
_atom_site_fract_y
_atom_site_fract_z
Sm1 0.2500 0.2500 0.2500
Er1 0.0753 0.6556 0.1302
Ga1 0.0277 0.6140 0.6233
```

5.
CsInAuCl2 | PBE-GGA | optimized geometry

Formation energy without anion corrections: -4.8 eV/f.u.
Volume: 34.1 Å³ per atom
D(E_F): 1.21 states/eV/cell

Geometry as CIF:
```
data_CsInAuCl2
_space_group_name_H-M_alt 'P 4/m m m'
_space_group_IT_number 123
_space_group_name_Hall '-P 4 2'
_cell_length_a 5.6553
_cell_length_b 5.6553
_cell_length_c 5.3311
_cell_angle_alpha 90.00
_cell_angle_beta 90.00
_cell_angle_gamma 90.00
loop_
_atom_site_label
_atom_site_fract_x
_atom_site_fract_y
_atom_site_fract_z
Cs1 0.0000 0.0000 0.0000
In1 0.5000 0.5000 0.5000
Au1 0.5000 0.5000 0.0000
Cl1 0.0000 0.5000 0.5000
```

6.
CsRb4Hg | PBE-GGA | optimized geometry

DFT formation energy: 68 meV per atom
Volume: 91.4 Å³ per atom
D(E_F): 20.41 states/eV/cell

Geometry as CIF:
```
data_CsRb4Hg
_space_group_name_H-M_alt 'F -4 3 m'
_space_group_IT_number 216
_space_group_name_Hall 'F -4 2 3'
_cell_length_a 12.9946
_cell_length_b 12.9946
_cell_length_c 12.9946
_cell_angle_alpha 90.00
_cell_angle_beta 90.00
_cell_angle_gamma 90.00
loop_
_atom_site_label
_atom_site_fract_x
_atom_site_fract_y
_atom_site_fract_z
Cs1 0.0000 0.0000 0.0000
Rb1 0.1244 0.1244 0.6244
Hg1 0.2500 0.2500 0.2500
```

Q: volume of number 6 (CsRb4Hg)?
A: 91.4 Å³ per atom

Q: What is the formula in the sixth record?
A: CsRb4Hg

What did the fourth record say?
SmEr4Ga4 | PBE-GGA | optimized geometry

DFT formation energy: -351 meV per atom
Volume: 27.1 Å³ per atom
D(E_F): 13.47 states/eV/cell

Geometry as CIF:
```
data_SmEr4Ga4
_space_group_name_H-M_alt 'P 42/n'
_space_group_IT_number 86
_cell_length_a 9.1102
_cell_length_b 9.1102
_cell_length_c 5.8694
_cell_angle_alpha 90.00
_cell_angle_beta 90.00
_cell_angle_gamma 90.00
loop_
_space_group_symop_operation_xyz
'x,y,z'
'-x,-y,-z'
'-y,x+1/2,z+1/2'
'y,-x+1/2,-z+1/2'
'-x+1/2,-y+1/2,z'
'x+1/2,y+1/2,-z'
'y+1/2,-x,z+1/2'
'-y+1/2,x,-z+1/2'
loop_
_atom_site_label
_atom_site_fract_x
_atom_site_fract_y
_atom_site_fract_z
Sm1 0.2500 0.2500 0.2500
Er1 0.0753 0.6556 0.1302
Ga1 0.0277 0.6140 0.6233
```

Q: The highest D(E_F) belongs to which entry?
A: Li3Pr12H5